No. 1
A relaxed structure of CeScAl. Source: Alexandria, functional PBE.

Its space-group type is I4mm. The calculation puts the total energy at -5.55 eV/atom. The value obtained for the energy above the most stable polymorph in this dataset is 0 meV/atom. The formation enthalpy at 0 K is -20.37 kJ/mol of atoms.

a = 3.1705 Å, b = 3.1705 Å, c = 7.2780 Å
α = 102.58°, β = 102.58°, γ = 90.00°
Last column: nearest neighbours and their distance in Å.
Fractional positions:
Al 0.9425 0.9425 0.8851  4 Sc 2.95, 4 Ce 3.16, 4 Al 3.17
Ce 0.6038 0.6038 0.2076  4 Al 3.16, 4 Ce 3.17
Sc 0.3037 0.3037 0.6074  4 Al 2.95, 4 Sc 3.17

=====

No. 2
A relaxed structure of Al2InOs. Source: Alexandria, functional PBE.

Its space-group type is C2/m. The calculation puts the total energy at -5.08 eV/atom. The formation enthalpy at 0 K is 27.44 kJ/mol of atoms.

a = 5.1924 Å, b = 5.0990 Å, c = 3.0666 Å
α = 78.25°, β = 79.01°, γ = 116.86°
Last column: nearest neighbours and their distance in Å.
Fractional positions:
Al 0.0000 0.0000 0.0000  2 In 2.69, 2 Os 2.69, 2 Al 2.75
In 0.0000 0.5000 0.5000  4 Al 2.69, 2 Os 2.75
Os 0.5000 0.5000 0.0000  4 Al 2.69, 2 In 2.75
Al 0.5000 0.0000 0.5000  2 Os 2.69, 2 In 2.69, 2 Al 2.75